# 1
First-principles (GGA-PBE) data for a relaxed Hf6Bi3Pt crystal, as listed in Alexandria via LeMat-Bulk.

a = 6.8741 Å, b = 7.7240 Å, c = 11.3185 Å
α = 90.00°, β = 126.36°, γ = 90.00°
With the nearest neighbours (Å) after each atom.
Positions (direct):
Hf 0.0155 0.0717 0.2663  1 Pt 2.77, 2 Bi 2.95-3.05
Hf 0.0155 0.4283 0.7663  1 Pt 2.77, 2 Bi 2.95-3.05
Hf 0.1630 0.1755 0.0499  1 Pt 2.67
Hf 0.1630 0.3245 0.5499  1 Pt 2.67
Hf 0.4059 0.6472 0.0461  1 Pt 2.76, 3 Bi 2.92-3.00, 1 Hf 3.09
Hf 0.4059 0.8528 0.5461  1 Pt 2.76, 3 Bi 2.92-3.00, 1 Hf 3.09
Hf 0.5941 0.1472 0.4539  1 Pt 2.76, 3 Bi 2.92-3.00, 1 Hf 3.09
Hf 0.5941 0.3528 0.9539  1 Pt 2.76, 3 Bi 2.92-3.00, 1 Hf 3.09
Hf 0.8370 0.6755 0.4501  1 Pt 2.67
Hf 0.8370 0.8245 0.9501  1 Pt 2.67
Hf 0.9845 0.5717 0.2337  1 Pt 2.77, 2 Bi 2.95-3.05
Hf 0.9845 0.9283 0.7337  1 Pt 2.77, 2 Bi 2.95-3.05
Bi 0.3427 0.6524 0.7471  8 Hf 2.95-3.19
Bi 0.3427 0.8476 0.2471  8 Hf 2.95-3.19
Bi 0.5000 0.0000 0.0000  6 Hf 2.92-3.05
Bi 0.5000 0.5000 0.5000  6 Hf 2.92-3.05
Bi 0.6573 0.1524 0.7529  8 Hf 2.95-3.19
Bi 0.6573 0.3476 0.2529  8 Hf 2.95-3.19
Pt 0.0000 0.0000 0.5000  6 Hf 2.67-2.77
Pt 0.0000 0.5000 0.0000  6 Hf 2.67-2.77

Calculated values
ΔH_f (0 K): -0.080 eV/atom
space group: No. 14
volume: 24.197 A^3/atom

=====

# 2
First-principles (GGA-PBE) data for a relaxed Hf2BiPt9 crystal, as listed in Alexandria via LeMat-Bulk.

a = 4.0710 Å, b = 4.0710 Å, c = 12.3118 Å
α = 90.00°, β = 90.00°, γ = 90.00°
With the nearest neighbours (Å) after each atom.
Positions (direct):
Hf 0.0000 0.0000 0.1626  12 Pt 2.81-2.88
Hf 0.0000 0.0000 0.8374  12 Pt 2.81-2.88
Bi 0.0000 0.0000 0.5000  12 Pt 2.88-3.01
Pt 0.0000 0.5000 0.0000  8 Pt 2.85-2.88, 4 Hf 2.85
Pt 0.0000 0.5000 0.3197  2 Hf 2.81, 8 Pt 2.81-3.01, 2 Bi 3.01
Pt 0.0000 0.5000 0.6803  2 Hf 2.81, 8 Pt 2.81-3.01, 2 Bi 3.01
Pt 0.5000 0.0000 0.0000  8 Pt 2.85-2.88, 4 Hf 2.85
Pt 0.5000 0.0000 0.3197  2 Hf 2.81, 8 Pt 2.81-3.01, 2 Bi 3.01
Pt 0.5000 0.0000 0.6803  2 Hf 2.81, 8 Pt 2.81-3.01, 2 Bi 3.01
Pt 0.5000 0.5000 0.1620  8 Pt 2.81-2.85, 4 Hf 2.88
Pt 0.5000 0.5000 0.5000  4 Bi 2.88, 8 Pt 3.01
Pt 0.5000 0.5000 0.8380  8 Pt 2.81-2.85, 4 Hf 2.88

Calculated values
ΔH_f (0 K): -0.753 eV/atom
space group: No. 123
volume: 17.004 A^3/atom

=====

# 3
First-principles (GGA-PBE) data for a relaxed HfBi3Pt crystal, as listed in Alexandria via LeMat-Bulk.

a = 5.3682 Å, b = 5.3682 Å, c = 5.3682 Å
α = 90.00°, β = 90.00°, γ = 90.00°
With the nearest neighbours (Å) after each atom.
Positions (direct):
Hf 0.0000 0.0000 0.0000  12 Bi 3.80
Bi 0.0000 0.5000 0.5000  2 Pt 2.68
Bi 0.5000 0.0000 0.5000  2 Pt 2.68
Bi 0.5000 0.5000 0.0000  2 Pt 2.68
Pt 0.5000 0.5000 0.5000  6 Bi 2.68

Calculated values
ΔH_f (0 K): 0.644 eV/atom
space group: No. 221
volume: 30.940 A^3/atom
ΔE to the lowest computed polymorph: 0 meV per atom

=====

# 4
First-principles (GGA-PBE) data for a relaxed HfBiPt3 crystal, as listed in Alexandria via LeMat-Bulk.

a = 4.9614 Å, b = 4.9614 Å, c = 4.9614 Å
α = 90.00°, β = 90.00°, γ = 90.00°
With the nearest neighbours (Å) after each atom.
Positions (direct):
Hf 0.0000 0.0000 0.0000  6 Pt 2.48
Bi 0.5000 0.5000 0.5000  12 Pt 3.51
Pt 0.0000 0.0000 0.5000  2 Hf 2.48
Pt 0.0000 0.5000 0.0000  2 Hf 2.48
Pt 0.5000 0.0000 0.0000  2 Hf 2.48

Calculated values
ΔH_f (0 K): 0.367 eV/atom
space group: No. 221
volume: 24.426 A^3/atom
ΔE to the lowest computed polymorph: 0 meV per atom

=====

# 5
First-principles (GGA-PBE) data for a relaxed HfBiPt2 crystal, as listed in Alexandria via LeMat-Bulk.

a = 3.4470 Å, b = 3.4470 Å, c = 6.8838 Å
α = 90.00°, β = 90.00°, γ = 90.00°
With the nearest neighbours (Å) after each atom.
Positions (direct):
Hf 0.0000 0.0000 0.0000  8 Pt 2.81
Bi 0.0000 0.0000 0.5000  8 Pt 3.18, 2 Hf 3.44, 4 Bi 3.45
Pt 0.5000 0.5000 0.2039  1 Pt 2.81, 4 Hf 2.81
Pt 0.5000 0.5000 0.7961  1 Pt 2.81, 4 Hf 2.81

Calculated values
ΔH_f (0 K): -0.741 eV/atom
space group: No. 123
volume: 20.448 A^3/atom

=====

# 6
First-principles (GGA-PBE) data for a relaxed RbHfBi2Pt crystal, as listed in Alexandria via LeMat-Bulk.

a = 5.5316 Å, b = 5.5316 Å, c = 6.2443 Å
α = 90.00°, β = 90.00°, γ = 90.00°
With the nearest neighbours (Å) after each atom.
Positions (direct):
Rb 0.0000 0.0000 0.0000  2 Hf 3.12
Hf 0.0000 0.0000 0.5000  4 Bi 2.77
Bi 0.0000 0.5000 0.5000  2 Hf 2.77
Bi 0.5000 0.0000 0.5000  2 Hf 2.77
Pt 0.5000 0.5000 0.0000  4 Rb 3.91, 8 Bi 4.17

Calculated values
ΔH_f (0 K): 0.997 eV/atom
space group: No. 123
volume: 38.214 A^3/atom

=====

# 7
First-principles (GGA-PBE) data for a relaxed HfBi2PtRh crystal, as listed in Alexandria via LeMat-Bulk.

a = 5.1642 Å, b = 5.1642 Å, c = 4.9178 Å
α = 90.00°, β = 90.00°, γ = 90.00°
With the nearest neighbours (Å) after each atom.
Positions (direct):
Hf 0.0000 0.0000 0.0000  2 Rh 2.46
Bi 0.0000 0.5000 0.5000  2 Rh 2.58
Bi 0.5000 0.0000 0.5000  2 Rh 2.58
Pt 0.5000 0.5000 0.0000  8 Bi 3.57, 4 Hf 3.65
Rh 0.0000 0.0000 0.5000  2 Hf 2.46, 4 Bi 2.58

Calculated values
ΔH_f (0 K): 0.524 eV/atom
space group: No. 123
volume: 26.230 A^3/atom

=====

# 8
First-principles (GGA-PBE) data for a relaxed SrHfBi2Pt crystal, as listed in Alexandria via LeMat-Bulk.

a = 5.4706 Å, b = 5.4706 Å, c = 5.4303 Å
α = 90.00°, β = 90.00°, γ = 90.00°
With the nearest neighbours (Å) after each atom.
Positions (direct):
Sr 0.0000 0.0000 0.0000  2 Pt 2.72
Hf 0.5000 0.5000 0.0000  8 Bi 3.85, 4 Sr 3.87
Bi 0.0000 0.5000 0.5000  2 Pt 2.74
Bi 0.5000 0.0000 0.5000  2 Pt 2.74
Pt 0.0000 0.0000 0.5000  2 Sr 2.72, 4 Bi 2.74

Calculated values
ΔH_f (0 K): 0.394 eV/atom
space group: No. 123
volume: 32.503 A^3/atom